# 1
## DyHo2Cu (GGA-PBE)

Data for a relaxed DyHo2Cu crystal.

```
4
Lattice="3.561 0.000 0.000 1.780 3.084 0.000 1.780 1.028 9.867" Properties=species:S:1:pos:R:3 pbc="T T T"
Ho 1.780 1.028 2.025
Ho 5.341 3.084 7.843
Cu 0.000 0.000 0.000
Dy 3.561 2.056 4.934
```

Properties
- D(E_F): 4.99 states/eV per cell
- Uncorrected energy: -4.434 eV per atom
- Formation enthalpy at 0 K: 0.0291 eV/atom

=====

# 2
## DyHoCu2 (GGA-PBE)

Data for a relaxed DyHoCu2 crystal.

```
4
Lattice="3.494 0.000 -1.295 0.000 4.462 0.000 -0.014 0.000 5.487" Properties=species:S:1:pos:R:3 pbc="T T T"
Dy 2.519 0.000 4.471
Ho 1.536 2.231 1.756
Cu 0.533 2.231 4.445
Cu 0.023 0.000 3.066
```

Properties
- D(E_F): 2.71 states/eV per cell
- Uncorrected energy: -4.605 eV per atom
- Formation enthalpy at 0 K: -0.2622 eV/atom

=====

# 3
## DyHo3Cu2 (GGA-PBE)

Data for a relaxed DyHo3Cu2 crystal.

```
12
Lattice="-4.350 -3.048 4.186 5.459 -2.605 3.775 -0.638 8.271 -0.104" Properties=species:S:1:pos:R:3 pbc="T T T"
Dy 2.730 -1.303 1.888
Dy 0.000 0.000 0.000
Ho -0.810 -2.175 3.037
Ho 1.919 -3.478 4.925
Ho -3.584 2.018 3.208
Ho 1.326 1.902 2.762
Ho 4.055 0.599 4.650
Ho -0.854 0.715 5.096
Cu -0.965 3.268 3.651
Cu -3.104 -0.618 4.062
Cu 3.575 3.235 3.796
Cu 1.437 -0.651 4.207
```

Properties
- D(E_F): 14.17 states/eV per cell
- Uncorrected energy: -4.410 eV per atom
- Formation enthalpy at 0 K: 0.0113 eV/atom

=====

# 4
## DyHo4Cu4 (GGA-PBE)

Data for a relaxed DyHo4Cu4 crystal.

```
18
Lattice="5.840 0.000 0.000 0.000 8.615 0.000 0.000 0.000 8.615" Properties=species:S:1:pos:R:3 pbc="T T T"
Dy 0.000 0.000 0.000
Dy 2.920 4.308 4.308
Ho 2.343 2.650 7.864
Ho 5.263 5.059 6.957
Ho 2.343 5.966 0.751
Ho 0.577 1.658 5.059
Ho 3.496 7.864 5.966
Ho 0.577 6.957 3.556
Ho 5.263 3.556 1.658
Ho 3.496 0.751 2.650
Cu 3.626 6.669 3.184
Cu 3.626 1.946 5.431
Cu 0.707 7.492 6.254
Cu 5.133 2.361 7.492
Cu 5.133 6.254 1.123
Cu 2.213 3.184 1.946
Cu 2.213 5.431 6.669
Cu 0.707 1.123 2.361
```

Properties
- D(E_F): 23.66 states/eV per cell
- Uncorrected energy: -4.406 eV per atom
- Formation enthalpy at 0 K: -0.0393 eV/atom